Li4Co3O3F4 | GGA+U | relaxed

Summary:
Size of the total moment   9.0 Bohr magnetons per cell
Space group   I4/mmm (139)
Raw total energy   -5.296 eV/atom

a = 15.111 Å, b = 15.111 Å, c = 15.111 Å
α = 168.80°, β = 168.80°, γ = 15.87°
Element x y z (fractional)
Li1 0.148 0.148 0.000
Li2 0.283 0.283 0.000
Li3 0.717 0.717 0.000
Li4 0.852 0.852 0.000
Co1 0.000 0.000 0.000
Co2 0.425 0.425 0.000
Co3 0.575 0.575 0.000
O1 0.076 0.076 0.000
O2 0.500 0.500 0.000
O3 0.924 0.924 0.000
F1 0.216 0.216 0.000
F2 0.350 0.350 0.000
F3 0.650 0.650 0.000
F4 0.784 0.784 0.000